No. 1
VASP calculation (PBE) on a relaxed structure of MgOsPt4.

Cell: 5.239 5.239 5.239 Å, 60.00 60.00 60.00°
Fractional positions:
Mg (0.000, 0.000, 0.000)
Os (0.750, 0.750, 0.750)
Pt (0.375, 0.375, 0.375)
Pt (0.375, 0.375, 0.874)
Pt (0.375, 0.874, 0.375)
Pt (0.874, 0.375, 0.375)

Calculated values
- spin magnetization (μB/cell) = 2.513
- DOS(E_F) (states/eV per cell) = 4.76
- DFT formation energy (eV/atom) = 0.204

=====

No. 2
VASP calculation (PBE) on a relaxed structure of TaHg3F6.

Cell: 5.276 5.276 7.678 Å, 90.00 90.00 120.00°
Fractional positions:
Ta (0.000, 0.000, 0.000)
Hg (0.000, 0.000, 0.500)
Hg (0.333, 0.667, 0.500)
Hg (0.667, 0.333, 0.500)
F (0.000, 0.294, 0.850)
F (0.000, 0.706, 0.150)
F (0.294, 0.000, 0.850)
F (0.294, 0.294, 0.150)
F (0.706, 0.000, 0.150)
F (0.706, 0.706, 0.850)

Calculated values
- spin magnetization (μB/cell) = 0.000
- DOS(E_F) (states/eV per cell) = 1.14
- energy relative to the elements, uncorrected (eV per formula unit) = -22.3

=====

No. 3
VASP calculation (PBE) on a relaxed structure of La3Tb6Tl.

Cell: 10.316 10.316 6.419 Å, 90.00 90.00 99.51°
Fractional positions:
La (0.141, 0.859, 0.500)
La (0.213, 0.388, 0.839)
La (0.388, 0.213, 0.339)
La (0.612, 0.787, 0.839)
La (0.787, 0.612, 0.339)
La (0.859, 0.141, 0.000)
Tb (0.062, 0.175, 0.505)
Tb (0.094, 0.484, 0.305)
Tb (0.175, 0.062, 0.005)
Tb (0.252, 0.748, 0.995)
Tb (0.453, 0.547, 0.166)
Tb (0.484, 0.094, 0.805)
Tb (0.516, 0.906, 0.305)
Tb (0.547, 0.453, 0.666)
Tb (0.748, 0.252, 0.495)
Tb (0.825, 0.938, 0.505)
Tb (0.906, 0.516, 0.805)
Tb (0.938, 0.825, 0.005)
Tl (0.344, 0.656, 0.558)
Tl (0.656, 0.344, 0.058)

Calculated values
- spin magnetization (μB/cell) = 0.000
- DOS(E_F) (states/eV per cell) = 26.20
- DFT formation energy (eV/atom) = 0.067